Here is crystalline BaSr2NbN4 at its relaxed geometry from Alexandria. Energies are from PBE-GGA.

Lattice parameters (Å, degrees): 6.0597 6.9130 8.2213 90.00 90.00 90.00
Atoms (fractional coordinates):
Ba (0.9751, 0.1503, 0.5000)
Ba (0.4751, 0.8497, 0.0000)
Sr (0.4815, 0.3271, 0.2545)
Sr (0.4815, 0.3271, 0.7455)
Sr (0.9815, 0.6729, 0.7545)
Sr (0.9815, 0.6729, 0.2455)
Nb (0.5032, 0.8149, 0.5000)
Nb (0.0032, 0.1851, 0.0000)
N (0.3233, 0.2015, 0.0000)
N (0.8233, 0.7985, 0.5000)
N (0.4364, 0.0971, 0.5000)
N (0.9364, 0.9029, 0.0000)
N (0.3994, 0.6845, 0.7022)
N (0.8994, 0.3155, 0.2022)
N (0.8994, 0.3155, 0.7978)
N (0.3994, 0.6845, 0.2978)

Summary:
The value obtained for the density of states at the Fermi level is 12.4 states/eV per cell. The calculation puts the raw formation energy at -0.77 eV per atom.